<A>
# HoZrTlC | OQMD via LeMat-Bulk | GGA-PBE | optimized geometry
# Calculated volume (Å³ per atom): 20.42
# Theoretical density (g/cm³): 9.605
data_HoZrTlC
_cell_length_a 3.4696
_cell_length_b 3.4696
_cell_length_c 15.6723
_cell_angle_alpha 90.00
_cell_angle_beta 90.00
_cell_angle_gamma 120.00
_space_group_name_H-M_alt 'P -6 m 2'
_space_group_IT_number 187
_space_group_name_Hall 'P -6 2'
loop_
_atom_site_label
_atom_site_fract_x
_atom_site_fract_y
_atom_site_fract_z
Ho1 0.0000 0.0000 0.1723
Zr1 0.6667 0.3333 0.3382
Tl1 0.0000 0.0000 0.5000
Tl2 0.6667 0.3333 0.0000
C1 0.3333 0.6667 0.2653

<B>
# HoZrTlC | OQMD via LeMat-Bulk | GGA-PBE | optimized geometry
# Calculated volume (Å³ per atom): 20.59
# Theoretical density (g/cm³): 9.527
data_HoZrTlC
_cell_length_a 3.4823
_cell_length_b 3.4823
_cell_length_c 15.6858
_cell_angle_alpha 90.00
_cell_angle_beta 90.00
_cell_angle_gamma 120.00
_space_group_name_H-M_alt 'P -3 m 1'
_space_group_IT_number 164
_space_group_name_Hall '-P 3 2"'
loop_
_atom_site_label
_atom_site_fract_x
_atom_site_fract_y
_atom_site_fract_z
Ho1 0.3333 0.6667 0.4133
Zr1 0.3333 0.6667 0.0775
Tl1 0.3333 0.6667 0.7597
C1 0.0000 0.0000 0.0000
C2 0.0000 0.0000 0.5000

In terms of stability, <A> leads; the second structure lies 15 meV/atom higher.

<A>
# YHoC | OQMD via LeMat-Bulk | GGA-PBE | optimized geometry
# Calculated volume (Å³ per atom): 22.70
# Theoretical density (g/cm³): 6.484
data_YHoC
_cell_length_a 3.5874
_cell_length_b 3.5874
_cell_length_c 18.3270
_cell_angle_alpha 90.00
_cell_angle_beta 90.00
_cell_angle_gamma 120.00
_space_group_name_H-M_alt 'R 3 m'
_space_group_IT_number 160
_space_group_name_Hall 'R 3 -2"'
loop_
_atom_site_label
_atom_site_fract_x
_atom_site_fract_y
_atom_site_fract_z
Y1 0.0000 0.0000 0.0000
Ho1 0.0000 0.0000 0.5200
C1 0.0000 0.0000 0.2585

<B>
# YHoC | OQMD via LeMat-Bulk | GGA-PBE | optimized geometry
# Calculated volume (Å³ per atom): 22.92
# Theoretical density (g/cm³): 6.421
data_YHoC
_cell_length_a 4.439
_cell_length_b 4.439
_cell_length_c 6.980
_cell_angle_alpha 90.00
_cell_angle_beta 90.00
_cell_angle_gamma 90.00
_space_group_name_H-M_alt 'P 42/m m c'
_space_group_IT_number 131
_space_group_name_Hall '-P 4c 2'
loop_
_atom_site_label
_atom_site_fract_x
_atom_site_fract_y
_atom_site_fract_z
Y1 0.000 0.000 0.250
Ho1 0.500 0.500 0.000
C1 0.000 0.500 0.000

In terms of stability, <A> leads; the second structure lies 554 meV/atom higher.

<A>
# Nd2Y2CI5 | OQMD via LeMat-Bulk | GGA-PBE | optimized geometry
# Calculated volume (Å³ per atom): 33.96
# Theoretical density (g/cm³): 5.441
data_Nd2Y2CI5
_cell_length_a 19.450
_cell_length_b 4.049
_cell_length_c 8.835
_cell_angle_alpha 90.00
_cell_angle_beta 102.52
_cell_angle_gamma 90.00
_space_group_name_H-M_alt 'C 1 2/m 1'
_space_group_IT_number 12
loop_
_space_group_symop_operation_xyz
'x,y,z'
'-x,-y,-z'
'-x,y,-z'
'x,-y,z'
'x+1/2,y+1/2,z'
'-x+1/2,-y+1/2,-z'
'-x+1/2,y+1/2,-z'
'x+1/2,-y+1/2,z'
loop_
_atom_site_label
_atom_site_fract_x
_atom_site_fract_y
_atom_site_fract_z
Nd1 0.001 0.000 0.305
Y1 0.127 0.500 0.563
C1 0.000 0.500 0.500
I1 0.000 0.500 0.000
I2 0.166 0.000 0.830
I3 0.170 0.000 0.334

<B>
# Nd2Y2CI5 | OQMD via LeMat-Bulk | GGA-PBE | optimized geometry
# Calculated volume (Å³ per atom): 32.69
# Theoretical density (g/cm³): 5.652
data_Nd2Y2CI5
_cell_length_a 19.133
_cell_length_b 4.019
_cell_length_c 8.725
_cell_angle_alpha 90.00
_cell_angle_beta 102.93
_cell_angle_gamma 90.00
_space_group_name_H-M_alt 'C 1 2/m 1'
_space_group_IT_number 12
loop_
_space_group_symop_operation_xyz
'x,y,z'
'-x,-y,-z'
'-x,y,-z'
'x,-y,z'
'x+1/2,y+1/2,z'
'-x+1/2,-y+1/2,-z'
'-x+1/2,y+1/2,-z'
'x+1/2,-y+1/2,z'
loop_
_atom_site_label
_atom_site_fract_x
_atom_site_fract_y
_atom_site_fract_z
Nd1 0.135 0.000 0.068
Y1 0.001 0.500 0.812
C1 0.000 0.000 0.000
I1 0.000 0.000 0.500
I2 0.162 0.500 0.351
I3 0.166 0.500 0.809

In terms of stability, <A> leads; the second structure lies 13 meV/atom higher.